(1)
Compound: Ca2Ce2Ir3
Source: the Alexandria database
Functional: PBE
Structure: relaxed

## Properties
- ρ: 9.48 Mg/m³
- Calculated formation energy: -571 meV per atom
- Density of states at the Fermi level: 6.76 states/eV/f.u.

Cell and atoms, written as CIF:
```
data_Ca2Ce2Ir3
_chemical_formula_sum 'Ca2 Ce2 Ir3'
_space_group_name_H-M_alt 'P -1'
_space_group_IT_number 2
_space_group_name_Hall '-P 1'
_cell_length_a 4.803
_cell_length_b 4.812
_cell_length_c 8.629
_cell_angle_alpha 105.99
_cell_angle_beta 90.22
_cell_angle_gamma 119.75
loop_
_atom_site_label
_atom_site_fract_x
_atom_site_fract_y
_atom_site_fract_z
_atom_site_occupancy
Ca1 0.129 0.256 0.385 1
Ce1 0.379 0.757 0.136 1
Ir1 0.000 0.000 0.000 1
Ir2 0.259 0.517 0.777 1
```

(2)
Compound: ScCu2RhCl
Source: the Alexandria database
Functional: PBE
Structure: relaxed

## Properties
- ΔE_f (raw): 0.84 eV/atom
- ρ: 4.76 Mg/m³
- Density of states at the Fermi level: 5.45 states/eV/f.u.

Cell and atoms, written as CIF:
```
data_ScCu2RhCl
_chemical_formula_sum 'Sc1 Cu2 Rh1 Cl1'
_space_group_name_H-M_alt 'P 4/m m m'
_space_group_IT_number 123
_space_group_name_Hall '-P 4 2'
_cell_length_a 4.872
_cell_length_b 4.872
_cell_length_c 4.559
_cell_angle_alpha 90.00
_cell_angle_beta 90.00
_cell_angle_gamma 90.00
loop_
_atom_site_label
_atom_site_fract_x
_atom_site_fract_y
_atom_site_fract_z
_atom_site_occupancy
Sc1 0.000 0.000 0.000 1
Cu1 0.000 0.500 0.000 1
Rh1 0.500 0.500 0.500 1
Cl1 0.000 0.000 0.500 1
```

(3)
Compound: CsReCl4
Source: the Alexandria database
Functional: PBE
Structure: relaxed

## Properties
- ΔE_f (raw): -1.14 eV/atom
- ρ: 4.00 Mg/m³

Cell and atoms, written as CIF:
```
data_CsReCl4
_chemical_formula_sum 'Cs12 Re12 Cl48'
_space_group_name_H-M_alt 'A m a 2'
_space_group_IT_number 40
_space_group_name_Hall 'A 2 -2a'
_cell_length_a 11.097
_cell_length_b 14.492
_cell_length_c 14.288
_cell_angle_alpha 90.00
_cell_angle_beta 90.00
_cell_angle_gamma 90.00
loop_
_atom_site_label
_atom_site_fract_x
_atom_site_fract_y
_atom_site_fract_z
_atom_site_occupancy
Cs1 0.000 0.000 0.000 1
Cs2 0.250 0.089 0.613 1
Cs3 0.250 0.319 0.876 1
Re1 0.139 0.281 0.271 1
Re2 0.250 0.140 0.225 1
Cl1 0.031 0.142 0.225 1
Cl2 0.068 0.138 0.800 1
Cl3 0.103 0.346 0.124 1
Cl4 0.105 0.247 0.428 1
Cl5 0.250 0.063 0.368 1
Cl6 0.250 0.161 0.063 1
Cl7 0.250 0.418 0.316 1
Cl8 0.250 0.470 0.666 1
```

(4)
Compound: Mn3Ni20B6
Source: the Alexandria database
Functional: PBE
Structure: relaxed

## Properties
- ρ: 8.05 Mg/m³
- Calculated formation energy: -264 meV per atom
- Density of states at the Fermi level: 14.62 states/eV/f.u.

Cell and atoms, written as CIF:
```
data_Mn3Ni20B6
_chemical_formula_sum 'Mn12 Ni80 B24'
_space_group_name_H-M_alt 'F m -3 m'
_space_group_IT_number 225
_space_group_name_Hall '-F 4 2 3'
_cell_length_a 10.502
_cell_length_b 10.502
_cell_length_c 10.502
_cell_angle_alpha 90.00
_cell_angle_beta 90.00
_cell_angle_gamma 90.00
loop_
_atom_site_label
_atom_site_fract_x
_atom_site_fract_y
_atom_site_fract_z
_atom_site_occupancy
Mn1 0.000 0.000 0.000 1
Mn2 0.250 0.250 0.250 1
Ni1 0.000 0.170 0.170 1
Ni2 0.117 0.117 0.383 1
B1 0.000 0.000 0.271 1
```